DFT (GGA-PBE) results for a relaxed structure of Nd8Tl2Rh3.

```
Nd8Tl2Rh3
1.0
8.394 -3.877 0.000
8.394 3.877 0.000
-2.221 0.000 6.522
Nd Tl Rh
8 2 3
direct
0.094 0.094 0.420 Nd
0.166 0.644 0.096 Nd
0.356 0.356 0.524 Nd
0.356 0.834 0.904 Nd
0.644 0.166 0.096 Nd
0.644 0.644 0.476 Nd
0.834 0.356 0.904 Nd
0.906 0.906 0.580 Nd
0.246 0.246 0.862 Tl
0.754 0.754 0.138 Tl
0.000 0.000 0.000 Rh
0.304 0.696 0.500 Rh
0.696 0.304 0.500 Rh
```

Output
- calculated total energy (eV for the cell shown) = -69.484
- magnetic moment (μB per formula unit) = 0.00